# 1
A geometry-optimized Tl2Ni2RhO6 structure, computed with GGA+U.

Properties
electronic total energy	-0.183	hartree per atom
size of the total moment	0.30	μB/atom
space group	C2/m (12)
crystal system	monoclinic

a = 5.362 Å, b = 5.362 Å, c = 6.036 Å
α = 97.85°, β = 97.85°, γ = 120.05°
Atoms (fractional coordinates):
Tl (0.168, 0.832, 0.000)
Tl (0.832, 0.168, 0.000)
Ni (0.336, 0.664, 0.500)
Ni (0.664, 0.336, 0.500)
Rh (0.000, 0.000, 0.500)
O (0.040, 0.372, 0.685)
O (0.256, 0.256, 0.310)
O (0.372, 0.040, 0.685)
O (0.628, 0.960, 0.315)
O (0.744, 0.744, 0.690)
O (0.960, 0.628, 0.315)

# 2
A geometry-optimized UNi2RhO6 structure, computed with GGA+U.

Properties
electronic total energy	-0.255	hartree per atom
size of the total moment	0.50	μB/atom
space group	P2_1/c (14)
crystal system	monoclinic

a = 5.337 Å, b = 5.512 Å, c = 9.383 Å
α = 90.00°, β = 123.61°, γ = 90.00°
Atoms (fractional coordinates):
U (0.000, 0.000, 0.000)
U (0.000, 0.500, 0.500)
Ni (0.233, 0.034, 0.720)
Ni (0.233, 0.466, 0.220)
Ni (0.767, 0.534, 0.780)
Ni (0.767, 0.966, 0.280)
Rh (0.500, 0.000, 0.500)
Rh (0.500, 0.500, 0.000)
O (0.121, 0.165, 0.451)
O (0.121, 0.335, 0.951)
O (0.242, 0.681, 0.408)
O (0.242, 0.819, 0.908)
O (0.405, 0.107, 0.264)
O (0.405, 0.393, 0.764)
O (0.595, 0.607, 0.236)
O (0.595, 0.893, 0.736)
O (0.758, 0.181, 0.092)
O (0.758, 0.319, 0.592)
O (0.879, 0.665, 0.049)
O (0.879, 0.835, 0.549)

# 3
A geometry-optimized VNi2RhO6 structure, computed with GGA+U.

Properties
electronic total energy	-0.215	hartree per atom
size of the total moment	0.60	μB/atom
space group	P4mm (99)
crystal system	tetragonal

a = 5.649 Å, b = 5.649 Å, c = 3.909 Å
α = 90.00°, β = 90.00°, γ = 90.00°
Atoms (fractional coordinates):
V (0.000, 0.000, 0.000)
Ni (0.000, 0.500, 0.219)
Ni (0.500, 0.000, 0.219)
Rh (0.500, 0.500, 0.069)
O (0.000, 0.000, 0.573)
O (0.245, 0.245, 0.114)
O (0.245, 0.755, 0.114)
O (0.500, 0.500, 0.577)
O (0.755, 0.245, 0.114)
O (0.755, 0.755, 0.114)

# 4
A geometry-optimized Ni2RhWO6 structure, computed with GGA+U.

Properties
electronic total energy	-0.213	hartree per atom
size of the total moment	0.48	μB/atom
space group	P4mm (99)
crystal system	tetragonal

a = 5.932 Å, b = 5.932 Å, c = 3.829 Å
α = 90.00°, β = 90.00°, γ = 90.00°
Atoms (fractional coordinates):
Ni (0.000, 0.500, 0.000)
Ni (0.500, 0.000, 0.000)
Rh (0.000, 0.000, 0.977)
W (0.500, 0.500, 0.960)
O (0.000, 0.000, 0.478)
O (0.268, 0.268, 0.984)
O (0.268, 0.732, 0.984)
O (0.500, 0.500, 0.474)
O (0.732, 0.268, 0.984)
O (0.732, 0.732, 0.984)

# 5
A geometry-optimized Zn2Ni2RhO6 structure, computed with GGA+U.

Properties
electronic total energy	-0.186	hartree per atom
size of the total moment	0.27	μB/atom
space group	C2/m (12)
crystal system	monoclinic

a = 5.191 Å, b = 5.191 Å, c = 5.253 Å
α = 99.77°, β = 99.77°, γ = 118.84°
Atoms (fractional coordinates):
Zn (0.172, 0.828, 0.000)
Zn (0.828, 0.172, 0.000)
Ni (0.340, 0.660, 0.500)
Ni (0.660, 0.340, 0.500)
Rh (0.000, 0.000, 0.500)
O (0.049, 0.393, 0.730)
O (0.237, 0.237, 0.268)
O (0.393, 0.049, 0.730)
O (0.607, 0.951, 0.270)
O (0.763, 0.763, 0.732)
O (0.951, 0.607, 0.270)

# 6
A geometry-optimized Ni3RuO structure, computed with GGA+U.

Properties
electronic total energy	-0.141	hartree per atom
size of the total moment	0.93	μB/atom
space group	Pm-3m (221)
crystal system	cubic

a = 3.910 Å, b = 3.910 Å, c = 3.910 Å
α = 90.00°, β = 90.00°, γ = 90.00°
Atoms (fractional coordinates):
Ni (0.000, 0.000, 0.500)
Ni (0.000, 0.500, 0.000)
Ni (0.500, 0.000, 0.000)
Ru (0.500, 0.500, 0.500)
O (0.000, 0.000, 0.000)

# 7
A geometry-optimized NiRuO2 structure, computed with GGA+U.

Properties
electronic total energy	-0.184	hartree per atom
size of the total moment	0.00	μB/atom
space group	Fm-3m (225)
crystal system	cubic

a = 3.742 Å, b = 3.742 Å, c = 3.742 Å
α = 60.00°, β = 60.00°, γ = 60.00°
Atoms (fractional coordinates):
Ni (0.000, 0.000, 0.000)
Ru (0.500, 0.500, 0.500)
O (0.250, 0.250, 0.250)
O (0.750, 0.750, 0.750)

# 8
A geometry-optimized NiRuO2 structure, computed with GGA+U.

Properties
electronic total energy	-0.215	hartree per atom
size of the total moment	0.15	μB/atom
space group	R-3m (166)
crystal system	trigonal

a = 6.548 Å, b = 6.548 Å, c = 6.548 Å
α = 24.79°, β = 24.79°, γ = 24.79°
Atoms (fractional coordinates):
Ni (0.000, 0.000, 0.000)
Ru (0.500, 0.500, 0.500)
O (0.100, 0.100, 0.100)
O (0.900, 0.900, 0.900)

# 9
A geometry-optimized NiRuO4 structure, computed with GGA+U.

Properties
electronic total energy	-0.225	hartree per atom
size of the total moment	0.14	μB/atom
space group	I4_1md (109)
crystal system	tetragonal

a = 5.489 Å, b = 5.489 Å, c = 5.489 Å
α = 108.13°, β = 108.13°, γ = 112.19°
Atoms (fractional coordinates):
Ni (0.000, 0.000, 0.000)
Ni (0.750, 0.250, 0.500)
Ru (0.264, 0.764, 0.500)
Ru (0.514, 0.514, 0.000)
O (0.215, 0.517, 0.698)
O (0.267, 0.069, 0.802)
O (0.267, 0.465, 0.198)
O (0.297, 0.993, 0.304)
O (0.689, 0.993, 0.696)
O (0.743, 0.547, 0.804)
O (0.743, 0.939, 0.196)
O (0.819, 0.517, 0.302)

# 10
A geometry-optimized Ni5Ru3O12 structure, computed with GGA+U.

Properties
electronic total energy	-0.211	hartree per atom
size of the total moment	0.87	μB/atom
space group	P-62m (189)
crystal system	hexagonal

a = 9.138 Å, b = 9.138 Å, c = 2.953 Å
α = 90.00°, β = 90.00°, γ = 120.00°
Atoms (fractional coordinates):
Ni (0.000, 0.661, 0.000)
Ni (0.333, 0.667, 0.000)
Ni (0.339, 0.339, 0.000)
Ni (0.661, 0.000, 0.000)
Ni (0.667, 0.333, 0.000)
Ru (0.000, 0.307, 0.500)
Ru (0.307, 0.000, 0.500)
Ru (0.693, 0.693, 0.500)
O (0.000, 0.169, 0.000)
O (0.000, 0.449, 0.000)
O (0.169, 0.000, 0.000)
O (0.191, 0.743, 0.500)
O (0.257, 0.448, 0.500)
O (0.448, 0.257, 0.500)
O (0.449, 0.000, 0.000)
O (0.551, 0.551, 0.000)
O (0.552, 0.809, 0.500)
O (0.743, 0.191, 0.500)
O (0.809, 0.552, 0.500)
O (0.831, 0.831, 0.000)

# 11
A geometry-optimized Ni2RuO structure, computed with GGA+U.

Properties
electronic total energy	-0.159	hartree per atom
size of the total moment	1.00	μB/atom
space group	I-42d (122)
crystal system	tetragonal

a = 5.123 Å, b = 5.123 Å, c = 5.123 Å
α = 101.23°, β = 101.23°, γ = 127.63°
Atoms (fractional coordinates):
Ni (0.047, 0.625, 0.922)
Ni (0.375, 0.297, 0.422)
Ni (0.703, 0.125, 0.078)
Ni (0.875, 0.953, 0.578)
Ru (0.250, 0.750, 0.500)
Ru (0.500, 0.500, 0.000)
O (0.000, 0.000, 0.000)
O (0.750, 0.250, 0.500)

# 12
A geometry-optimized NiRu2O6 structure, computed with GGA+U.

Properties
electronic total energy	-0.241	hartree per atom
size of the total moment	0.08	μB/atom
space group	P321 (150)
crystal system	trigonal

a = 8.613 Å, b = 8.613 Å, c = 4.341 Å
α = 90.00°, β = 90.00°, γ = 120.00°
Atoms (fractional coordinates):
Ni (0.000, 0.000, 0.000)
Ni (0.333, 0.667, 0.502)
Ni (0.667, 0.333, 0.498)
Ru (0.000, 0.322, 0.500)
Ru (0.000, 0.656, 0.000)
Ru (0.322, 0.000, 0.500)
Ru (0.344, 0.344, 0.000)
Ru (0.656, 0.000, 0.000)
Ru (0.678, 0.678, 0.500)
O (0.105, 0.544, 0.748)
O (0.110, 0.882, 0.759)
O (0.118, 0.228, 0.759)
O (0.214, 0.776, 0.257)
O (0.224, 0.438, 0.257)
O (0.228, 0.118, 0.241)
O (0.438, 0.224, 0.743)
O (0.439, 0.895, 0.748)
O (0.456, 0.561, 0.748)
O (0.544, 0.105, 0.252)
O (0.561, 0.456, 0.252)
O (0.562, 0.786, 0.257)
O (0.772, 0.890, 0.759)
O (0.776, 0.214, 0.743)
O (0.786, 0.562, 0.743)
O (0.882, 0.110, 0.241)
O (0.890, 0.772, 0.241)
O (0.895, 0.439, 0.252)

Which of these has the highest electronic total energy?
Ni3RuO

Which of these has the highest electronic total energy?
Ni3RuO

Look up the size of the total moment of the eleventh one.
1.00 μB/atom

The lowest electronic total energy belongs to which entry?
UNi2RhO6